No. 1
! Ca2Ga5NiRu2, optimized geometry, DFT PBE; values from VASP
&SYSTEM
  ibrav = 0, nat = 20, ntyp = 4
/
ATOMIC_SPECIES
Ca 40.08 Ca.upf
Ga 69.72 Ga.upf
Ni 58.69 Ni.upf
Ru 101.07 Ru.upf
CELL_PARAMETERS angstrom
10.5540 0.0000 0.0000
0.0000 10.5540 0.0000
0.0000 0.0000 3.1178
ATOMIC_POSITIONS angstrom
Ca 1.8942 3.3828 0.0000
Ca 3.3828 8.6597 0.0000
Ca 7.1712 1.8942 0.0000
Ca 8.6597 7.1712 0.0000
Ga 0.0000 5.2770 1.5589
Ga 0.5952 8.6124 1.5589
Ga 1.9415 0.5952 1.5589
Ga 3.3354 5.8722 1.5589
Ga 4.6818 3.3354 1.5589
Ga 5.2770 0.0000 1.5589
Ga 5.8722 7.2185 1.5589
Ga 7.2185 4.6818 1.5589
Ga 8.6124 9.9587 1.5589
Ga 9.9587 1.9415 1.5589
Ni 0.0000 0.0000 0.0000
Ni 5.2770 5.2770 0.0000
Ru 1.3807 6.6577 0.0000
Ru 3.8963 1.3807 0.0000
Ru 6.6577 9.1733 0.0000
Ru 9.1733 3.8963 0.0000
! Formation energy = -311 meV/atom
! SG = P4/mbm

---

No. 2
! CaGa4Ni2Ru, optimized geometry, DFT PBE; values from VASP
&SYSTEM
  ibrav = 0, nat = 8, ntyp = 4
/
ATOMIC_SPECIES
Ca 40.08 Ca.upf
Ga 69.72 Ga.upf
Ni 58.69 Ni.upf
Ru 101.07 Ru.upf
CELL_PARAMETERS angstrom
2.0531 1.1854 9.1071
-2.0531 1.1854 9.1071
0.0000 -2.3708 9.1071
ATOMIC_POSITIONS angstrom
Ca 0.0000 0.0000 0.0000
Ga 0.0000 0.0000 3.5733
Ga 0.0000 0.0000 11.0616
Ga 0.0000 0.0000 16.2598
Ga 0.0000 0.0000 23.7481
Ni 0.0000 0.0000 6.2916
Ni 0.0000 0.0000 21.0298
Ru 0.0000 0.0000 13.6607
! Formation energy = -388 meV/atom
! SG = R-3m

---

No. 3
! CaGaSiNi, optimized geometry, DFT PBE; values from VASP
&SYSTEM
  ibrav = 0, nat = 4, ntyp = 4
/
ATOMIC_SPECIES
Ca 40.08 Ca.upf
Ga 69.72 Ga.upf
Si 28.09 Si.upf
Ni 58.69 Ni.upf
CELL_PARAMETERS angstrom
2.0005 1.1550 5.4212
-2.0005 1.1550 5.4212
0.0000 -2.3100 5.4212
ATOMIC_POSITIONS angstrom
Ca 0.0000 0.0000 0.0000
Ga 0.0000 0.0000 3.3223
Si 0.0000 0.0000 7.4356
Ni 0.0000 0.0000 13.1041
! SG = R3m
! Formation energy from raw total energies = -505 meV/atom

---

No. 4
! CaGaSiNi3, optimized geometry, DFT PBE; values from VASP
&SYSTEM
  ibrav = 0, nat = 12, ntyp = 4
/
ATOMIC_SPECIES
Ca 40.08 Ca.upf
Ga 69.72 Ga.upf
Si 28.09 Si.upf
Ni 58.69 Ni.upf
CELL_PARAMETERS angstrom
3.0334 -5.9111 0.0000
3.0334 5.9111 0.0000
0.0000 0.0000 5.2653
ATOMIC_POSITIONS angstrom
Ca 3.0334 3.3531 3.9490
Ca 3.0334 -3.3531 1.3163
Ga 3.0334 4.2473 1.3163
Ga 3.0334 -4.2473 3.9490
Si 3.0334 0.5008 3.9490
Si 3.0334 -0.5008 1.3163
Ni 1.2427 0.0000 0.0000
Ni 1.2427 0.0000 2.6326
Ni 3.0334 1.7609 1.3163
Ni 3.0334 -1.7609 3.9490
Ni 4.8240 0.0000 0.0000
Ni 4.8240 0.0000 2.6326
! SG = Cmcm
! Formation energy from raw total energies = -296 meV/atom

---

No. 5
! CaGa2SiNi2, optimized geometry, DFT PBE; values from VASP
&SYSTEM
  ibrav = 0, nat = 6, ntyp = 4
/
ATOMIC_SPECIES
Ca 40.08 Ca.upf
Ga 69.72 Ga.upf
Si 28.09 Si.upf
Ni 58.69 Ni.upf
CELL_PARAMETERS angstrom
4.3039 0.0000 0.0000
0.0000 4.3039 0.0000
0.0000 0.0000 5.6282
ATOMIC_POSITIONS angstrom
Ca 0.0000 0.0000 0.0000
Ga 2.1519 2.1519 1.3627
Ga 2.1519 2.1519 4.2655
Si 0.0000 0.0000 2.8141
Ni 0.0000 2.1519 2.8141
Ni 2.1519 0.0000 2.8141
! SG = P4/mmm
! Formation energy from raw total energies = -326 meV/atom

---

No. 6
! Ca2GaSi4Ni3, optimized geometry, DFT PBE; values from VASP
&SYSTEM
  ibrav = 0, nat = 10, ntyp = 4
/
ATOMIC_SPECIES
Ca 40.08 Ca.upf
Ga 69.72 Ga.upf
Si 28.09 Si.upf
Ni 58.69 Ni.upf
CELL_PARAMETERS angstrom
3.9868 0.0000 0.0000
0.0000 3.9868 0.0000
0.0000 0.0000 9.9742
ATOMIC_POSITIONS angstrom
Ca 0.0000 1.9934 2.4205
Ca 1.9934 0.0000 7.5537
Ga 0.0000 0.0000 4.9871
Si 0.0000 0.0000 0.0000
Si 0.0000 1.9934 6.4530
Si 1.9934 0.0000 3.5212
Si 1.9934 1.9934 0.0000
Ni 0.0000 1.9934 8.7661
Ni 1.9934 0.0000 1.2081
Ni 1.9934 1.9934 4.9871
! SG = P-4m2
! Formation energy from raw total energies = -557 meV/atom